A) Density functional theory data (PBE) for crystalline ScPHCl2 at its relaxed geometry.

Computed properties:
The value obtained for the mass density is 1.82 g/cm³.

CIF file:
```
data_ScPHCl2
_cell_length_a 5.032
_cell_length_b 5.032
_cell_length_c 5.324
_cell_angle_alpha 90.00
_cell_angle_beta 90.00
_cell_angle_gamma 90.00
_symmetry_space_group_name_H-M 'P 1'
_symmetry_Int_Tables_number 1
loop_
_symmetry_equiv_pos_as_xyz
'x,y,z'
loop_
_atom_site_label
_atom_site_fract_x
_atom_site_fract_y
_atom_site_fract_z
Cl1 0.500 0.000 0.000
P1 0.000 0.000 0.500
Cl2 0.000 0.500 0.000
Sc1 0.000 0.000 0.000
H1 0.500 0.500 0.500
```

B) Density functional theory data (PBE) for crystalline ScPHCl2 at its relaxed geometry.

Computed properties:
The value obtained for the mass density is 3.14 g/cm³.

CIF file:
```
data_ScPHCl2
_cell_length_a 4.777
_cell_length_b 4.777
_cell_length_c 3.428
_cell_angle_alpha 90.00
_cell_angle_beta 90.00
_cell_angle_gamma 90.00
_symmetry_space_group_name_H-M 'P 1'
_symmetry_Int_Tables_number 1
loop_
_symmetry_equiv_pos_as_xyz
'x,y,z'
loop_
_atom_site_label
_atom_site_fract_x
_atom_site_fract_y
_atom_site_fract_z
P1 0.000 0.000 0.500
Cl1 0.500 0.000 0.000
Cl2 0.000 0.500 0.000
Sc1 0.500 0.500 0.500
H1 0.000 0.000 0.000
```

What should be chosen as the least stable of them? Choose B).

A) Density functional theory data (PBE) for crystalline SiP2HCl at its relaxed geometry.

Computed properties:
The value obtained for the mass density is 2.07 g/cm³.

CIF file:
```
data_SiP2HCl
_cell_length_a 4.492
_cell_length_b 4.492
_cell_length_c 5.041
_cell_angle_alpha 90.00
_cell_angle_beta 90.00
_cell_angle_gamma 90.00
_symmetry_space_group_name_H-M 'P 1'
_symmetry_Int_Tables_number 1
loop_
_symmetry_equiv_pos_as_xyz
'x,y,z'
loop_
_atom_site_label
_atom_site_fract_x
_atom_site_fract_y
_atom_site_fract_z
Cl1 0.000 0.000 0.500
P1 0.000 0.500 0.000
H1 0.500 0.500 0.500
P2 0.500 0.000 0.000
Si1 0.000 0.000 0.000
```

B) Density functional theory data (PBE) for crystalline SiP2HCl at its relaxed geometry.

Computed properties:
The value obtained for the mass density is 2.74 g/cm³.

CIF file:
```
data_SiP2HCl
_cell_length_a 3.681
_cell_length_b 3.681
_cell_length_c 5.651
_cell_angle_alpha 90.00
_cell_angle_beta 90.00
_cell_angle_gamma 90.00
_symmetry_space_group_name_H-M 'P 1'
_symmetry_Int_Tables_number 1
loop_
_symmetry_equiv_pos_as_xyz
'x,y,z'
loop_
_atom_site_label
_atom_site_fract_x
_atom_site_fract_y
_atom_site_fract_z
P1 0.000 0.500 0.000
H1 0.000 0.000 0.000
Si1 0.500 0.500 0.500
P2 0.500 0.000 0.000
Cl1 0.000 0.000 0.500
```

What should be chosen as the least stable of them? Choose A).

A) Density functional theory data (PBE) for crystalline SnPHCl2 at its relaxed geometry.

Computed properties:
The value obtained for the mass density is 2.41 g/cm³.

CIF file:
```
data_SnPHCl2
_cell_length_a 5.364
_cell_length_b 5.364
_cell_length_c 5.316
_cell_angle_alpha 90.00
_cell_angle_beta 90.00
_cell_angle_gamma 90.00
_symmetry_space_group_name_H-M 'P 1'
_symmetry_Int_Tables_number 1
loop_
_symmetry_equiv_pos_as_xyz
'x,y,z'
loop_
_atom_site_label
_atom_site_fract_x
_atom_site_fract_y
_atom_site_fract_z
Sn1 0.000 0.000 0.000
P1 0.000 0.000 0.500
Cl1 0.000 0.500 0.000
Cl2 0.500 0.000 0.000
H1 0.500 0.500 0.500
```

B) Density functional theory data (PBE) for crystalline SnPHCl2 at its relaxed geometry.

Computed properties:
The value obtained for the mass density is 3.93 g/cm³.

CIF file:
```
data_SnPHCl2
_cell_length_a 5.264
_cell_length_b 5.264
_cell_length_c 3.376
_cell_angle_alpha 90.00
_cell_angle_beta 90.00
_cell_angle_gamma 90.00
_symmetry_space_group_name_H-M 'P 1'
_symmetry_Int_Tables_number 1
loop_
_symmetry_equiv_pos_as_xyz
'x,y,z'
loop_
_atom_site_label
_atom_site_fract_x
_atom_site_fract_y
_atom_site_fract_z
Cl1 0.000 0.500 0.000
P1 0.000 0.000 0.500
Cl2 0.500 0.000 0.000
H1 0.000 0.000 0.000
Sn1 0.500 0.500 0.500
```

What should be chosen as the least stable of them? Choose A).

A) Density functional theory data (PBE) for crystalline SnP2HCl at its relaxed geometry.

Computed properties:
The value obtained for the mass density is 4.07 g/cm³.

CIF file:
```
data_SnP2HCl
_cell_length_a 3.895
_cell_length_b 3.895
_cell_length_c 5.835
_cell_angle_alpha 90.00
_cell_angle_beta 90.00
_cell_angle_gamma 90.00
_symmetry_space_group_name_H-M 'P 1'
_symmetry_Int_Tables_number 1
loop_
_symmetry_equiv_pos_as_xyz
'x,y,z'
loop_
_atom_site_label
_atom_site_fract_x
_atom_site_fract_y
_atom_site_fract_z
P1 0.000 0.500 0.000
H1 0.000 0.000 0.000
P2 0.500 0.000 0.000
Cl1 0.000 0.000 0.500
Sn1 0.500 0.500 0.500
```

B) Density functional theory data (PBE) for crystalline SnP2HCl at its relaxed geometry.

Computed properties:
The value obtained for the mass density is 2.43 g/cm³.

CIF file:
```
data_SnP2HCl
_cell_length_a 5.238
_cell_length_b 5.238
_cell_length_c 5.417
_cell_angle_alpha 90.00
_cell_angle_beta 90.00
_cell_angle_gamma 90.00
_symmetry_space_group_name_H-M 'P 1'
_symmetry_Int_Tables_number 1
loop_
_symmetry_equiv_pos_as_xyz
'x,y,z'
loop_
_atom_site_label
_atom_site_fract_x
_atom_site_fract_y
_atom_site_fract_z
P1 0.500 0.000 0.000
P2 0.000 0.500 0.000
H1 0.500 0.500 0.500
Cl1 0.000 0.000 0.500
Sn1 0.000 0.000 0.000
```

What should be chosen as the least stable of them? Choose B).

A) Density functional theory data (PBE) for crystalline SrPHCl2 at its relaxed geometry.

Computed properties:
The value obtained for the mass density is 3.19 g/cm³.

CIF file:
```
data_SrPHCl2
_cell_length_a 5.218
_cell_length_b 5.218
_cell_length_c 3.641
_cell_angle_alpha 90.00
_cell_angle_beta 90.00
_cell_angle_gamma 90.00
_symmetry_space_group_name_H-M 'P 1'
_symmetry_Int_Tables_number 1
loop_
_symmetry_equiv_pos_as_xyz
'x,y,z'
loop_
_atom_site_label
_atom_site_fract_x
_atom_site_fract_y
_atom_site_fract_z
Cl1 0.000 0.500 0.000
H1 0.000 0.000 0.000
Cl2 0.500 0.000 0.000
Sr1 0.500 0.500 0.500
P1 0.000 0.000 0.500
```

B) Density functional theory data (PBE) for crystalline SrPHCl2 at its relaxed geometry.

Computed properties:
The value obtained for the mass density is 1.40 g/cm³.

CIF file:
```
data_SrPHCl2
_cell_length_a 5.620
_cell_length_b 5.620
_cell_length_c 7.161
_cell_angle_alpha 90.00
_cell_angle_beta 90.00
_cell_angle_gamma 90.00
_symmetry_space_group_name_H-M 'P 1'
_symmetry_Int_Tables_number 1
loop_
_symmetry_equiv_pos_as_xyz
'x,y,z'
loop_
_atom_site_label
_atom_site_fract_x
_atom_site_fract_y
_atom_site_fract_z
Cl1 0.500 0.000 0.000
Cl2 0.000 0.500 0.000
H1 0.500 0.500 0.500
Sr1 0.000 0.000 0.000
P1 0.000 0.000 0.500
```

What should be chosen as the least stable of them? Choose B).

A) Density functional theory data (PBE) for crystalline SrP2HCl at its relaxed geometry.

Computed properties:
The value obtained for the mass density is 1.35 g/cm³.

CIF file:
```
data_SrP2HCl
_cell_length_a 6.372
_cell_length_b 6.372
_cell_length_c 5.620
_cell_angle_alpha 90.00
_cell_angle_beta 90.00
_cell_angle_gamma 90.00
_symmetry_space_group_name_H-M 'P 1'
_symmetry_Int_Tables_number 1
loop_
_symmetry_equiv_pos_as_xyz
'x,y,z'
loop_
_atom_site_label
_atom_site_fract_x
_atom_site_fract_y
_atom_site_fract_z
P1 0.000 0.500 0.000
Sr1 0.000 0.000 0.000
P2 0.500 0.000 0.000
H1 0.500 0.500 0.500
Cl1 0.000 0.000 0.500
```

B) Density functional theory data (PBE) for crystalline SrP2HCl at its relaxed geometry.

Computed properties:
The value obtained for the mass density is 3.32 g/cm³.

CIF file:
```
data_SrP2HCl
_cell_length_a 3.921
_cell_length_b 3.921
_cell_length_c 6.051
_cell_angle_alpha 90.00
_cell_angle_beta 90.00
_cell_angle_gamma 90.00
_symmetry_space_group_name_H-M 'P 1'
_symmetry_Int_Tables_number 1
loop_
_symmetry_equiv_pos_as_xyz
'x,y,z'
loop_
_atom_site_label
_atom_site_fract_x
_atom_site_fract_y
_atom_site_fract_z
Cl1 0.000 0.000 0.500
P1 0.000 0.500 0.000
Sr1 0.500 0.500 0.500
H1 0.000 0.000 0.000
P2 0.500 0.000 0.000
```

What should be chosen as the least stable of them? Choose A).